KHg3P | PBE-GGA | relaxed

Results
- Relative energy among the computed polymorphs: 24 meV per atom
- Space-group type: P1 (1)
- Formation enthalpy at 0 K: -0.12 eV/atom
- DFT total energy: -1.601 eV/atom

a = 6.0198 Å, b = 7.1093 Å, c = 7.7314 Å
α = 76.82°, β = 82.89°, γ = 89.94°
Fractional positions:
K 0.0000 0.0000 0.0000
K 0.3333 0.4152 0.2988
Hg 0.1638 0.5814 0.7118
Hg 0.3710 0.9085 0.3406
Hg 0.5714 0.7958 0.8349
Hg 0.5836 0.3146 0.8299
Hg 0.8031 0.6357 0.4365
Hg 0.8469 0.1259 0.4092
P 0.4143 0.0948 0.6782
P 0.7743 0.5192 0.9886